{"formula": "TiCoOF2", "functional": "PBE+U", "state": "optimized geometry", "lattice": [[4.024, 0.000, 0.000], [0.000, 4.024, 0.000], [0.000, 0.000, 3.860]], "species": ["Ti", "Co", "O", "F", "F"], "frac_coords": [[0.000, 0.000, 0.000], [0.500, 0.500, 0.500], [0.000, 0.000, 0.500], [0.000, 0.500, 0.000], [0.500, 0.000, 0.000]], "de_polymorph_mev_per_atom": 0}